# LiLa2Hg

LiLa2Hg after structural relaxation (PBE-GGA, Alexandria).

Lattice parameters (Å, degrees): 7.557 7.568 4.093 90.00 90.00 90.00
Space group Cmmm (No. 65)
Symmetry-distinct sites (fractional):
1 Li 0.000 0.000 0.000 (multiplicity 2)
2 La 0.250 0.250 0.500 (multiplicity 4)
3 Hg 0.000 0.500 0.000 (multiplicity 2)

Properties
* energy: -3.25 eV per atom
* Fermi-level density of states: 10.8 states/eV per cell

***

# La2AgSnF

La2AgSnF after structural relaxation (PBE-GGA, Alexandria).

Lattice parameters (Å, degrees): 5.866 5.866 4.357 90.00 90.00 90.00
Space group P4/mmm (No. 123)
Symmetry-distinct sites (fractional):
1 La 0.000 0.500 0.000 (multiplicity 2)
2 Ag 0.000 0.000 0.000 (multiplicity 1)
3 Sn 0.500 0.500 0.500 (multiplicity 1)
4 F 0.000 0.000 0.500 (multiplicity 1)

Properties
* energy: -4.20 eV per atom
* Fermi-level density of states: 4.8 states/eV per cell

***

# LaSbTe2F

LaSbTe2F after structural relaxation (PBE-GGA, Alexandria).

Lattice parameters (Å, degrees): 5.411 5.411 4.528 90.00 90.00 90.00
Space group P4/mmm (No. 123)
Symmetry-distinct sites (fractional):
1 La 0.000 0.000 0.000 (multiplicity 1)
2 Sb 0.500 0.500 0.000 (multiplicity 1)
3 Te 0.000 0.500 0.500 (multiplicity 2)
4 F 0.500 0.500 0.500 (multiplicity 1)

Properties
* energy: -4.36 eV per atom
* Fermi-level density of states: 2.9 states/eV per cell

***

# Mg2ScIn

Mg2ScIn after structural relaxation (PBE-GGA, Alexandria).

Lattice parameters (Å, degrees): 11.205 3.489 5.051 90.00 110.24 90.00
Space group C2/m (No. 12)
Symmetry-distinct sites (fractional):
1 Mg 0.244 0.000 0.246 (multiplicity 4)
2 Sc 0.000 0.000 0.500 (multiplicity 2)
3 In 0.000 0.500 0.000 (multiplicity 2)

Properties
* energy: -3.21 eV per atom
* Fermi-level density of states: 5.6 states/eV per cell

***

# ErAgF4

ErAgF4 after structural relaxation (PBE-GGA, Alexandria).

Lattice parameters (Å, degrees): 7.429 7.429 7.577 90.00 90.00 90.00
Space group I4_1md (No. 109)
Symmetry-distinct sites (fractional):
1 Er 0.000 0.000 0.000 (multiplicity 4)
2 Ag 0.000 0.000 0.485 (multiplicity 4)
3 F 0.000 0.296 0.034 (multiplicity 8)
4 F 0.000 0.302 0.450 (multiplicity 8)

Properties
* energy relative to the lowest polymorph listed for this composition: 0 meV/atom
* energy: -5.53 eV per atom
* Fermi-level density of states: 0.0 states/eV per cell

***

# LiDy2GePd6

LiDy2GePd6 after structural relaxation (PBE-GGA, Alexandria).

Lattice parameters (Å, degrees): 5.608 5.660 7.037 70.63 77.83 61.04
Space group P-1 (No. 2)
Symmetry-distinct sites (fractional):
1 Li 0.000 0.000 0.000 (multiplicity 1)
2 Dy 0.148 0.334 0.257 (multiplicity 2)
3 Ge 0.500 0.500 0.500 (multiplicity 1)
4 Pd 0.063 0.837 0.354 (multiplicity 2)
5 Pd 0.356 0.641 0.827 (multiplicity 2)
6 Pd 0.376 0.148 0.808 (multiplicity 2)

Properties
* energy: -5.29 eV per atom
* Fermi-level density of states: 3.4 states/eV per cell

***

# Mg2Sc3Ga

Mg2Sc3Ga after structural relaxation (PBE-GGA, Alexandria).

Lattice parameters (Å, degrees): 4.9339 4.9339 6.0763 90.00 90.00 120.00
Space group P-3m1 (No. 164)
Symmetry-distinct sites (fractional):
1 Mg 0.3333 0.6667 0.1510 (multiplicity 2)
2 Sc 0.0000 0.0000 0.0000 (multiplicity 1)
3 Sc 0.3333 0.6667 0.6534 (multiplicity 2)
4 Ga 0.0000 0.0000 0.5000 (multiplicity 1)

Properties
* energy: -4.44 eV per atom
* Fermi-level density of states: 6.0 states/eV per cell

***

# AlMoW2

AlMoW2 after structural relaxation (PBE-GGA, Alexandria).

Lattice parameters (Å, degrees): 5.461 8.941 2.742 90.00 109.89 90.00
Space group C2/m (No. 12)
Symmetry-distinct sites (fractional):
1 Al 0.000 0.000 0.000 (multiplicity 2)
2 Mo 0.000 0.500 0.000 (multiplicity 2)
3 W 0.250 0.250 0.500 (multiplicity 4)

Properties
* energy: -10.09 eV per atom
* Fermi-level density of states: 5.3 states/eV per cell

***

no.,mass density (g/cm3)
1,6.886
2,5.796
3,6.699
4,3.736
5,5.577
6,9.412
7,3.282
8,12.942